LiV3O8 | meta-GGA SCAN | single point on PBEsol structure

a = 6.8339 Å, b = 3.5626 Å, c = 12.3041 Å
α = 90.00°, β = 104.93°, γ = 90.00°
Sites, in units of the cell vectors:
Li 0.0000 0.0000 0.0000
Li 0.0491 0.0000 0.2663
V 0.2403 0.5000 0.8864
V 0.3111 0.0000 0.5139
V 0.3647 0.5000 0.1604
V 0.5097 0.0000 0.7639
V 0.5910 0.5000 0.4165
V 0.6283 0.0000 0.0337
O 0.0346 0.5000 0.7914
O 0.0927 0.0000 0.4247
O 0.1528 0.5000 0.0131
O 0.1976 0.5000 0.2349
O 0.2732 0.0000 0.6480
O 0.3236 0.0000 0.9003
O 0.4021 0.5000 0.5148
O 0.4055 0.0000 0.1312
O 0.4577 0.5000 0.7942
O 0.5023 0.0000 0.4163
O 0.5494 0.5000 0.0353
O 0.5991 0.5000 0.2723
O 0.6675 0.0000 0.6896
O 0.7125 0.0000 0.9142
O 0.8165 0.5000 0.4903
O 0.8473 0.0000 0.1278

Output
crystal system = monoclinic
D(E_F) = 0.0 states/eV/f.u.
excess energy over the best structure of this formula in the dataset = 0.0431 eV/atom
space-group type = No. 6